Computed, not measured: a relaxed structure of InP3 at the PBE-GGA level of DFT.

Unit cell a=4.5119 b=4.5119 c=3.5742 alpha=90.00 beta=90.00 gamma=101.79
Fractional coordinates of all 4 atoms:
1 In 0.0000 0.0000 0.0000
2 P 0.0000 0.5000 0.5000
3 P 0.5000 0.0000 0.5000
4 P 0.5000 0.5000 0.0000

Calculated values
E_tot ... -16.30 eV/cell